# 1
A plane-wave DFT calculation with PBE was carried out for a relaxed ScS4Br crystal.

Output
Total DFT energy (no corrections), eV per cell: -115.3
Energy relative to the elements, uncorrected, meV per atom: -717

Geometry as CIF:
```
data_ScS4Br
_space_group_name_H-M_alt 'C 1 2/c 1'
_space_group_IT_number 15
_cell_length_a 8.7115
_cell_length_b 24.0426
_cell_length_c 3.5521
_cell_angle_alpha 90.00
_cell_angle_beta 97.55
_cell_angle_gamma 90.00
loop_
_space_group_symop_operation_xyz
'x,y,z'
'-x,-y,-z'
'-x,y,-z+1/2'
'x,-y,z+1/2'
'x+1/2,y+1/2,z'
'-x+1/2,-y+1/2,-z'
'-x+1/2,y+1/2,-z+1/2'
'x+1/2,-y+1/2,z+1/2'
loop_
_atom_site_label
_atom_site_type_symbol
_atom_site_fract_x
_atom_site_fract_y
_atom_site_fract_z
Sc1 Sc 0.0000 0.2257 0.2500
S1 S 0.1763 0.2792 0.8509
S2 S 0.1780 0.4763 0.3094
Br1 Br 0.0000 0.1429 0.7500
```

# 2
A plane-wave DFT calculation with PBE was carried out for a relaxed Hg2TePb crystal.

Output
Total DFT energy (no corrections), eV per cell: -28.4
Energy relative to the lowest polymorph listed for this composition, kJ/mol of atoms: 24.65
Energy relative to the elements, uncorrected, meV per atom: 90

Geometry as CIF:
```
data_Hg2TePb
_space_group_name_H-M_alt 'F m -3 m'
_space_group_IT_number 225
_space_group_name_Hall '-F 4 2 3'
_cell_length_a 7.7025
_cell_length_b 7.7025
_cell_length_c 7.7025
_cell_angle_alpha 90.00
_cell_angle_beta 90.00
_cell_angle_gamma 90.00
loop_
_atom_site_label
_atom_site_type_symbol
_atom_site_fract_x
_atom_site_fract_y
_atom_site_fract_z
Hg1 Hg 0.2500 0.2500 0.2500
Te1 Te 0.0000 0.0000 0.0000
Pb1 Pb 0.0000 0.0000 0.5000
```

# 3
A plane-wave DFT calculation with PBE was carried out for a relaxed CoH crystal.

Output
Total DFT energy (no corrections), eV per cell: -41.1

Geometry as CIF:
```
data_CoH
_space_group_name_H-M_alt 'F -4 3 m'
_space_group_IT_number 216
_space_group_name_Hall 'F -4 2 3'
_cell_length_a 3.8174
_cell_length_b 3.8174
_cell_length_c 3.8174
_cell_angle_alpha 90.00
_cell_angle_beta 90.00
_cell_angle_gamma 90.00
loop_
_atom_site_label
_atom_site_type_symbol
_atom_site_fract_x
_atom_site_fract_y
_atom_site_fract_z
Co1 Co 0.0000 0.0000 0.0000
H1 H 0.2500 0.2500 0.2500
```

# 4
A plane-wave DFT calculation with PBE was carried out for a relaxed La2TeW crystal.

Output
Total DFT energy (no corrections), eV per cell: -50.9
Energy relative to the elements, uncorrected, meV per atom: 129

Geometry as CIF:
```
data_La2TeW
_space_group_name_H-M_alt 'I m m m'
_space_group_IT_number 71
_space_group_name_Hall '-I 2 2'
_cell_length_a 4.7015
_cell_length_b 5.3692
_cell_length_c 8.6666
_cell_angle_alpha 90.00
_cell_angle_beta 90.00
_cell_angle_gamma 90.00
loop_
_atom_site_label
_atom_site_type_symbol
_atom_site_fract_x
_atom_site_fract_y
_atom_site_fract_z
La1 La 0.0000 0.0000 0.2201
Te1 Te 0.0000 0.5000 0.0000
W1 W 0.0000 0.5000 0.5000
```